[1]
! Ag3SbS3 GGA-PBE optimized geometry; values from VASP
&SYSTEM
  ibrav = 0, nat = 14, ntyp = 3
/
ATOMIC_SPECIES
Ag 107.87 Ag.upf
Sb 121.76 Sb.upf
S 32.06 S.upf
ATOMIC_POSITIONS angstrom
Ag -0.981 -2.851 3.021
Ag -3.631 -0.964 4.532
Ag -1.978 2.274 3.021
Ag 2.651 -2.663 4.532
Ag 2.959 0.576 3.021
Ag 0.981 3.627 4.532
Sb 0.000 0.000 0.374
Sb 0.000 0.000 4.906
S -3.758 2.138 4.663
S 0.027 -4.323 4.663
S -1.852 -1.101 6.173
S -0.027 2.154 6.173
S 1.879 -1.053 6.173
S 3.731 2.186 4.663
CELL_PARAMETERS angstrom
5.610 3.239 3.021
-5.610 3.239 3.021
0.000 -6.478 3.021
! - polymorph energy (0 for the lowest one) (meV/atom) = 7.0
! - space-group type = R3c
! - E (eV/atom) = -3.7028

***

[2]
! Cd3N2 GGA-PBE optimized geometry; values from VASP
&SYSTEM
  ibrav = 0, nat = 40, ntyp = 2
/
ATOMIC_SPECIES
Cd 112.41 Cd.upf
N 14.01 N.upf
ATOMIC_POSITIONS angstrom
Cd 6.493 1.619 -1.379
Cd 1.619 1.379 -1.040
Cd 1.379 -1.040 1.619
Cd 3.834 1.379 1.040
Cd 4.413 3.834 -1.379
Cd 6.832 1.040 1.619
Cd 6.832 -1.040 3.834
Cd -1.040 1.619 1.379
Cd 3.834 -1.379 4.413
Cd 1.379 1.040 3.834
Cd 1.619 -1.379 6.493
Cd 1.040 3.834 1.379
Cd 4.413 1.619 4.074
Cd 3.834 6.832 -1.040
Cd 4.074 4.413 1.619
Cd 1.619 6.832 1.040
Cd 6.493 3.834 4.074
Cd -1.379 6.493 1.619
Cd -1.379 4.413 3.834
Cd 1.040 1.619 6.832
Cd 1.619 4.074 4.413
Cd 4.074 6.493 3.834
Cd 3.834 4.074 6.493
Cd -1.040 3.834 6.832
N 0.000 0.000 0.000
N 5.453 0.000 0.000
N 5.453 -2.726 3.042
N 8.179 2.411 0.000
N 3.042 5.453 -2.726
N 3.042 0.000 2.726
N 2.726 3.042 0.000
N 5.453 2.726 2.411
N 0.000 5.453 0.000
N 0.000 0.000 5.453
N 0.000 2.726 3.042
N 2.726 2.411 5.453
N 2.411 5.453 2.726
N 2.411 0.000 8.179
N -2.726 3.042 5.453
N 0.000 8.179 2.411
CELL_PARAMETERS angstrom
-5.453 5.453 5.453
5.453 -5.453 5.453
5.453 5.453 -5.453
! - polymorph energy (0 for the lowest one) (meV/atom) = 0.0
! - space-group type = Ia-3
! - E (eV/atom) = -3.3233

***

[3]
! LiNb3Co4Sb4 GGA-PBE optimized geometry; values from VASP
&SYSTEM
  ibrav = 0, nat = 12, ntyp = 4
/
ATOMIC_SPECIES
Li 6.94 Li.upf
Nb 92.91 Nb.upf
Co 58.93 Co.upf
Sb 121.76 Sb.upf
ATOMIC_POSITIONS angstrom
Li 0.000 0.000 0.000
Nb 2.974 0.000 2.957
Nb 0.000 0.000 5.915
Nb 0.000 2.974 2.957
Co 1.576 1.576 -1.548
Co 1.398 -1.398 7.462
Co 1.398 1.398 4.367
Co -1.398 1.398 7.462
Sb 2.974 0.000 0.000
Sb 0.000 0.000 2.813
Sb 0.000 2.974 0.000
Sb 0.000 0.000 9.016
CELL_PARAMETERS angstrom
-2.974 2.974 5.915
2.974 -2.974 5.915
2.974 2.974 -5.915
! - space-group type = I-42m
! - magnetic moment (μB/cell) = 0.0
! - E (eV/atom) = -6.8595

***

[4]
! ZrAsPtO GGA-PBE optimized geometry; values from VASP
&SYSTEM
  ibrav = 0, nat = 8, ntyp = 4
/
ATOMIC_SPECIES
Zr 91.22 Zr.upf
As 74.92 As.upf
Pt 195.08 Pt.upf
O 16.00 O.upf
ATOMIC_POSITIONS angstrom
Zr 0.000 0.725 0.000
Zr 0.000 3.564 3.281
As 2.612 1.613 6.385
As 2.612 2.676 3.105
Pt 2.612 0.565 4.219
Pt 2.612 3.724 0.938
O 0.000 0.878 2.057
O 0.000 3.411 5.337
CELL_PARAMETERS angstrom
5.224 0.000 0.000
0.000 4.289 0.000
0.000 0.000 6.561
! - polymorph energy (0 for the lowest one) (meV/atom) = 166.6
! - space-group type = Pmc2_1
! - magnetic moment (μB/cell) = 0.0
! - E (eV/atom) = -7.2589

***

[5]
! NaErTc GGA-PBE optimized geometry; values from VASP
&SYSTEM
  ibrav = 0, nat = 3, ntyp = 3
/
ATOMIC_SPECIES
Na 22.99 Na.upf
Er 167.26 Er.upf
Tc 98.00 Tc.upf
ATOMIC_POSITIONS angstrom
Na 0.000 0.000 0.000
Er 4.937 4.937 4.937
Tc 1.646 1.646 1.646
CELL_PARAMETERS angstrom
0.000 3.291 3.291
3.291 0.000 3.291
3.291 3.291 0.000
! - space-group type = F-43m
! - magnetic moment (μB/cell) = 1.4
! - E (eV/atom) = -4.0669

***

[6]
! DyHfBe2Ge2 GGA-PBE optimized geometry; values from VASP
&SYSTEM
  ibrav = 0, nat = 6, ntyp = 4
/
ATOMIC_SPECIES
Dy 162.50 Dy.upf
Hf 178.49 Hf.upf
Be 9.01 Be.upf
Ge 72.64 Ge.upf
ATOMIC_POSITIONS angstrom
Dy 0.000 0.000 0.000
Hf 0.000 0.000 3.848
Be 0.000 2.209 2.113
Be 1.913 1.105 5.583
Ge 0.000 2.209 5.683
Ge 1.913 1.105 2.013
CELL_PARAMETERS angstrom
3.826 0.000 0.000
-1.913 3.314 0.000
0.000 0.000 7.696
! - space-group type = P-3m1
! - magnetic moment (μB/cell) = 0.0
! - E (eV/atom) = -5.8190

***

[7]
! Ho2Co7 GGA-PBE optimized geometry; values from VASP
&SYSTEM
  ibrav = 0, nat = 18, ntyp = 2
/
ATOMIC_SPECIES
Ho 164.93 Ho.upf
Co 58.93 Co.upf
ATOMIC_POSITIONS angstrom
Ho 0.000 0.000 1.861
Ho 0.000 0.000 5.327
Ho 0.000 0.000 30.606
Ho 0.000 0.000 34.073
Co -1.235 -0.713 11.978
Co -1.239 -0.715 15.910
Co 0.000 0.000 10.008
Co 0.000 0.000 13.965
Co 0.000 -1.430 20.024
Co -1.239 0.715 20.024
Co -1.235 0.713 23.956
Co 0.000 1.426 11.978
Co 0.000 0.000 17.967
Co 1.239 -0.715 15.910
Co 0.000 1.430 15.910
Co 0.000 0.000 21.968
Co 0.000 0.000 25.926
Co 1.239 0.715 20.024
CELL_PARAMETERS angstrom
2.470 1.426 11.978
-2.470 1.426 11.978
0.000 -2.852 11.978
! - space-group type = R-3m
! - energy of formation from the pure elements (eV per atom) = -0.17
! - magnetic moment (μB/cell) = 17.4
! - E (eV/atom) = -6.7096

***

[8]
! HoErIn2Ni4 GGA-PBE optimized geometry; values from VASP
&SYSTEM
  ibrav = 0, nat = 8, ntyp = 4
/
ATOMIC_SPECIES
Ho 164.93 Ho.upf
Er 167.26 Er.upf
In 114.82 In.upf
Ni 58.69 Ni.upf
ATOMIC_POSITIONS angstrom
Ho 0.000 0.000 0.000
Er 0.000 2.549 3.716
In 1.996 0.000 4.357
In 1.996 2.549 6.358
Ni 0.000 0.000 2.655
Ni 0.000 2.549 1.071
Ni 1.996 1.277 1.866
Ni 1.996 3.821 1.866
CELL_PARAMETERS angstrom
3.992 0.000 0.000
0.000 5.098 0.000
0.000 0.000 6.997
! - polymorph energy (0 for the lowest one) (meV/atom) = 0.0
! - space-group type = Pmm2
! - magnetic moment (μB/cell) = 0.0
! - E (eV/atom) = -5.0790

***

[9]
! RbNaThTe3 GGA-PBE optimized geometry; values from VASP
&SYSTEM
  ibrav = 0, nat = 12, ntyp = 4
/
ATOMIC_SPECIES
Rb 85.47 Rb.upf
Na 22.99 Na.upf
Th 232.04 Th.upf
Te 127.60 Te.upf
ATOMIC_POSITIONS angstrom
Rb 2.351 4.185 9.215
Rb 2.351 -4.185 3.072
Na 2.351 7.058 3.072
Na 2.351 -7.058 9.215
Th 2.351 0.000 0.000
Th 2.351 0.000 6.143
Te 2.351 5.841 0.383
Te 2.351 5.841 5.760
Te 2.351 0.906 3.072
Te 2.351 -0.906 9.215
Te 2.351 -5.841 6.527
Te 2.351 -5.841 11.903
CELL_PARAMETERS angstrom
2.351 -7.936 0.000
2.351 7.936 0.000
0.000 0.000 12.287
! - space-group type = Cmcm
! - magnetic moment (μB/cell) = 0.0
! - E (eV/atom) = -4.3013

***

[10]
! NdCuPt GGA-PBE optimized geometry; values from VASP
&SYSTEM
  ibrav = 0, nat = 3, ntyp = 3
/
ATOMIC_SPECIES
Nd 144.24 Nd.upf
Cu 63.55 Cu.upf
Pt 195.08 Pt.upf
ATOMIC_POSITIONS angstrom
Nd 0.000 0.000 0.000
Cu 3.276 3.276 3.276
Pt 4.914 4.914 4.914
CELL_PARAMETERS angstrom
0.000 3.276 3.276
3.276 0.000 3.276
3.276 3.276 0.000
! - space-group type = F-43m
! - energy of formation from the pure elements (eV per atom) = -0.52
! - magnetic moment (μB/cell) = 0.0
! - E (eV/atom) = -5.3639

***

[11]
! NdPaTl GGA-PBE optimized geometry; values from VASP
&SYSTEM
  ibrav = 0, nat = 3, ntyp = 3
/
ATOMIC_SPECIES
Nd 144.24 Nd.upf
Pa 231.04 Pa.upf
Tl 204.38 Tl.upf
ATOMIC_POSITIONS angstrom
Nd 0.000 0.000 0.000
Pa 3.710 3.710 3.710
Tl 1.855 1.855 1.855
CELL_PARAMETERS angstrom
0.000 3.710 3.710
3.710 0.000 3.710
3.710 3.710 0.000
! - polymorph energy (0 for the lowest one) (meV/atom) = 0.0
! - space-group type = F-43m
! - magnetic moment (μB/cell) = 2.3
! - E (eV/atom) = -5.0130